{
  "formula": "NdTh4Rh4",
  "functional": "PBE",
  "state": "relaxed",
  "lattice": [[-0.364, 1.416, 5.543], [7.858, -4.494, 1.663], [4.756, 7.703, -1.656]],
  "species": ["Nd", "Nd", "Th", "Th", "Th", "Th", "Th", "Th", "Th", "Th", "Rh", "Rh", "Rh", "Rh", "Rh", "Rh", "Rh", "Rh"],
  "fractional_positions": [[0.000, 0.000, 0.000], [0.500, 0.500, 0.500], [0.499, 0.308, 0.899], [0.999, 0.601, 0.808], [0.499, 0.692, 0.101], [0.001, 0.192, 0.601], [0.501, 0.899, 0.692], [0.001, 0.808, 0.399], [0.999, 0.399, 0.192], [0.501, 0.101, 0.308], [0.501, 0.801, 0.392], [0.501, 0.199, 0.608], [0.001, 0.892, 0.699], [0.999, 0.301, 0.892], [0.999, 0.699, 0.108], [0.499, 0.392, 0.199], [0.499, 0.608, 0.801], [0.001, 0.108, 0.301]],
  "e_tot_ev_per_atom": -7.8601,
  "magnetic_moment_mub_per_atom": 0.000,
  "space_group": "No. 87",
  "n_ef_per_ev_atom": 0.679,
  "formation_enthalpy_0k_ev_per_atom": -0.77
}